Cd2TeBr | PBE | optimized geometry

Lattice parameters (Å, degrees): 6.4795 6.4795 7.6391 122.53 122.53 29.69
Sites, in units of the cell vectors:
Cd: 0.0000 0.0000 0.0000
Cd: 0.7343 0.7343 0.2648
Te: 0.2759 0.2759 0.6520
Br: 0.4161 0.4161 0.2645

The calculation puts the density of states at the Fermi level at 1.17 states/eV/cell.



Cd2TeBr | PBE | optimized geometry

Lattice parameters (Å, degrees): 5.3017 5.3017 5.3017 60.00 60.00 60.00
Sites, in units of the cell vectors:
Cd: 0.2500 0.2500 0.2500
Cd: 0.7500 0.7500 0.7500
Te: 0.0000 0.0000 0.0000
Br: 0.5000 0.5000 0.5000

The calculation puts the density of states at the Fermi level at 1.55 states/eV/cell.



CdTe2Br | PBE | optimized geometry

Lattice parameters (Å, degrees): 11.4499 11.4499 11.4499 17.16 17.16 17.16
Sites, in units of the cell vectors:
Cd: 0.0000 0.0000 0.0000
Te: 0.0827 0.0827 0.0827
Te: 0.9173 0.9173 0.9173
Br: 0.5000 0.5000 0.5000

The calculation puts the density of states at the Fermi level at 2.55 states/eV/cell.



CdTeBr | PBE | optimized geometry

Lattice parameters (Å, degrees): 6.0116 6.4988 6.5074 62.27 76.96 75.49
Sites, in units of the cell vectors:
Cd: 0.0000 0.0000 0.0000
Cd: 0.3157 0.2622 0.2734
Te: 0.4454 0.0418 0.7295
Te: 0.6048 0.3439 0.8402
Br: 0.1175 0.8671 0.4279
Br: 0.9131 0.5577 0.1338



CdTe2Br | PBE | optimized geometry

Lattice parameters (Å, degrees): 6.6764 6.6764 5.3538 104.11 104.11 37.77
Sites, in units of the cell vectors:
Cd: 0.0000 0.0000 0.0000
Te: 0.3926 0.3926 0.6436
Te: 0.5537 0.5537 0.3868
Br: 0.2130 0.2130 0.9747

The calculation puts the density of states at the Fermi level at 1.62 states/eV/cell.



CdTeBr | PBE | optimized geometry

Lattice parameters (Å, degrees): 8.3222 8.0066 3.6557 81.94 72.28 25.78
Sites, in units of the cell vectors:
Cd: 0.0000 0.0000 0.0000
Te: 0.3620 0.3620 0.6380
Br: 0.6183 0.6183 0.3817

The calculation puts the density of states at the Fermi level at 1.13 states/eV/cell.



| no. | electronic total energy (eV per formula unit) | formation energy without anion corrections (eV/atom) | E above lowest polymorph (meV/atom) |
| --- | --- | --- | --- |
| 1 | -7.37 | -0.182 | 207.0 |
| 2 | -7.31 | -0.168 | 221.7 |
| 3 | -8.22 | 0.163 | 433.4 |
| 4 | -7.31 | -0.528 | 24.0 |
| 5 | -9.88 | -0.253 | 17.6 |
| 6 | -6.50 | -0.258 | 293.3 |